Fe4O5F3: relaxed, GGA+U.

The structure in extended XYZ format:
```
24
Lattice="3.003 9.601 0.045 -3.003 9.601 0.045 0.000 0.511 4.757" Properties=species:S:1:pos:R:3 pbc="T T T"
Fe 0.000 17.281 2.656
Fe 0.000 12.228 2.411
Fe 0.000 2.783 2.507
Fe 0.000 7.415 2.379
Fe -1.451 5.235 4.730
Fe 1.544 10.080 4.754
Fe 1.451 5.235 4.730
Fe -1.544 10.080 4.754
O 0.000 18.740 3.966
O 0.000 4.307 3.929
O -1.454 6.646 3.339
O -1.469 11.438 3.348
O 1.454 6.646 3.339
O 1.469 11.438 3.348
O -1.470 13.074 1.523
O 1.470 13.074 1.523
O 1.437 8.294 1.501
O -1.437 8.294 1.501
F 0.000 9.111 3.871
F 0.000 13.885 3.860
F 0.000 10.602 0.917
F 0.000 5.799 0.984
F 0.000 0.983 0.915
F 0.000 15.324 0.855
```

Computed properties:
Electronic total energy ... -0.2213 Ha/atom
SG ... No. 8
Energy above the most stable polymorph in this dataset ... 32 kJ/mol of formula units